No. 1
DFT (meta-GGA SCAN) results for a PBEsol-optimized structure of KRuAu2.

Cell: 2.6939 5.3872 10.9580 Å, 90.00 90.00 90.00°
With the nearest neighbours (Å) after each atom.
Space group Immm (No. 71)
Inequivalent atoms, fractional coordinates:
K1 0.0000 0.0000 0.0000 [2 per cell]  2 K 2.69, 4 Ru 3.01
Ru1 0.0000 0.0000 0.5000 [2 per cell]  4 Au 2.68, 2 Ru 2.69
Au1 0.0000 0.5000 0.2111 [4 per cell]  2 Ru 2.68, 2 Au 2.69

Properties
Uncorrected energy: -44.824 eV/atom
Offset from the most stable computed form: 1.16 eV per formula unit
Formation energy from the elements: 2.17 eV/f.u.

No. 2
DFT (meta-GGA SCAN) results for a PBEsol-optimized structure of LaFeNO2.

Cell: 4.3489 4.3489 4.4347 Å, 90.00 90.00 90.00°
With the nearest neighbours (Å) after each atom.
Space group P4/mmm (No. 123)
Inequivalent atoms, fractional coordinates:
La1 0.0000 0.0000 0.0000 [1 per cell]  4 O 2.17, 2 N 2.22
Fe1 0.5000 0.5000 0.5000 [1 per cell]  4 N 3.08, 8 O 3.11
N1 0.0000 0.0000 0.5000 [1 per cell]  2 La 2.22
O1 0.0000 0.5000 0.0000 [2 per cell]  2 La 2.17

Properties
Uncorrected energy: -16.677 eV/atom